DFT (GGA+U) results for a geometry-optimized NiAgGeF6 structure.

Values from the calculation:
Energy in eV per atom: -4.23

CIF file:
```
data_NiAgGeF6
_space_group_name_H-M_alt 'P -3 1 c'
_space_group_IT_number 163
_space_group_name_Hall '-P 3 2c'
_cell_length_a 5.4042
_cell_length_b 5.4042
_cell_length_c 10.3869
_cell_angle_alpha 90.00
_cell_angle_beta 90.00
_cell_angle_gamma 120.00
loop_
_atom_site_label
_atom_site_fract_x
_atom_site_fract_y
_atom_site_fract_z
Ni1 0.3333 0.6667 0.2500
Ag1 0.0000 0.0000 0.0000
Ge1 0.3333 0.6667 0.7500
F1 0.0036 0.3700 0.6451
```